# PBE Sm5YTh2, relaxed
data_Sm5YTh2
_chemical_formula_sum 'Sm20 Y4 Th8'
_space_group_name_H-M_alt 'I 4/m c m'
_space_group_IT_number 140
_space_group_name_Hall '-I 4 2c'
_cell_length_a 8.934
_cell_length_b 8.934
_cell_length_c 13.480
_cell_angle_alpha 90.00
_cell_angle_beta 90.00
_cell_angle_gamma 90.00
loop_
_atom_site_label
_atom_site_fract_x
_atom_site_fract_y
_atom_site_fract_z
Sm1 0.000 0.000 0.000
Sm2 0.152 0.348 0.162
Y1 0.000 0.000 0.250
Th1 0.141 0.359 0.500
# crystal system	tetragonal
# E_tot	-174.9	eV per cell
# E_form	0.146	eV per atom
# relative energy among the computed polymorphs	46	meV per atom

# PBE Sm12YTh7, relaxed
data_Sm12YTh7
_chemical_formula_sum 'Sm24 Y2 Th14'
_space_group_name_H-M_alt 'I m -3'
_space_group_IT_number 204
_space_group_name_Hall '-I 2 2 3'
_cell_length_a 11.555
_cell_length_b 11.555
_cell_length_c 11.555
_cell_angle_alpha 90.00
_cell_angle_beta 90.00
_cell_angle_gamma 90.00
loop_
_atom_site_label
_atom_site_fract_x
_atom_site_fract_y
_atom_site_fract_z
Sm1 0.000 0.229 0.302
Y1 0.000 0.000 0.000
Th1 0.000 0.000 0.500
Th2 0.250 0.250 0.250
# crystal system	cubic
# E_tot	-194.3	eV per cell
# E_form	0.894	eV per atom

# PBE Sm2Y5Th3, relaxed
data_Sm2Y5Th3
_chemical_formula_sum 'Sm4 Y10 Th6'
_space_group_name_H-M_alt 'C 1 2/m 1'
_space_group_IT_number 12
_cell_length_a 11.369
_cell_length_b 5.054
_cell_length_c 11.361
_cell_angle_alpha 90.00
_cell_angle_beta 90.06
_cell_angle_gamma 90.00
loop_
_space_group_symop_operation_xyz
'x,y,z'
'-x,-y,-z'
'-x,y,-z'
'x,-y,z'
'x+1/2,y+1/2,z'
'-x+1/2,-y+1/2,-z'
'-x+1/2,y+1/2,-z'
'x+1/2,-y+1/2,z'
loop_
_atom_site_label
_atom_site_fract_x
_atom_site_fract_y
_atom_site_fract_z
Sm1 0.098 0.000 0.297
Y1 0.000 0.500 0.500
Y2 0.200 0.000 0.603
Y3 0.200 0.500 0.098
Th1 0.000 0.000 0.000
Th2 0.098 0.500 0.801
# crystal system	monoclinic
# E_tot	-127.2	eV per cell
# E_form	0.044	eV per atom

# PBE Sm2Y2Th, relaxed
data_Sm2Y2Th
_chemical_formula_sum 'Sm8 Y8 Th4'
_space_group_name_H-M_alt 'C m c 21'
_space_group_IT_number 36
_cell_length_a 5.485
_cell_length_b 17.012
_cell_length_c 7.047
_cell_angle_alpha 90.00
_cell_angle_beta 90.00
_cell_angle_gamma 90.00
loop_
_space_group_symop_operation_xyz
'x,y,z'
'-x,-y,z+1/2'
'-x,y,z'
'x,-y,z+1/2'
'x+1/2,y+1/2,z'
'-x+1/2,-y+1/2,z+1/2'
'-x+1/2,y+1/2,z'
'x+1/2,-y+1/2,z+1/2'
loop_
_atom_site_label
_atom_site_fract_x
_atom_site_fract_y
_atom_site_fract_z
Sm1 0.000 0.104 0.000
Sm2 0.000 0.301 0.250
Y1 0.000 0.301 0.752
Y2 0.000 0.499 0.248
Th1 0.000 0.108 0.500
# crystal system	orthorhombic
# E_tot	-117.6	eV per cell
# E_form	0.076	eV per atom
# relative energy among the computed polymorphs	0	meV per atom

# PBE Sm2Y3Th, relaxed
data_Sm2Y3Th
_chemical_formula_sum 'Sm4 Y6 Th2'
_space_group_name_H-M_alt 'P -1'
_space_group_IT_number 2
_cell_length_a 6.229
_cell_length_b 6.230
_cell_length_c 10.780
_cell_angle_alpha 73.22
_cell_angle_beta 84.39
_cell_angle_gamma 80.39
loop_
_space_group_symop_operation_xyz
'x,y,z'
'-x,-y,-z'
loop_
_atom_site_label
_atom_site_fract_x
_atom_site_fract_y
_atom_site_fract_z
Sm1 0.120 0.373 0.376
Sm2 0.377 0.122 0.129
Y1 0.123 0.714 0.040
Y2 0.369 0.458 0.791
Y3 0.373 0.797 0.458
Th1 0.126 0.040 0.710
# crystal system	triclinic
# E_tot	-72.0	eV per cell
# E_form	0.038	eV per atom
# relative energy among the computed polymorphs	0	meV per atom

# PBE SmY4Th, relaxed
data_SmY4Th
_chemical_formula_sum 'Sm2 Y8 Th2'
_space_group_name_H-M_alt 'C 1 2/m 1'
_space_group_IT_number 12
_cell_length_a 11.298
_cell_length_b 5.076
_cell_length_c 7.184
_cell_angle_alpha 90.00
_cell_angle_beta 108.26
_cell_angle_gamma 90.00
loop_
_space_group_symop_operation_xyz
'x,y,z'
'-x,-y,-z'
'-x,y,-z'
'x,-y,z'
'x+1/2,y+1/2,z'
'-x+1/2,-y+1/2,-z'
'-x+1/2,y+1/2,-z'
'x+1/2,-y+1/2,z'
loop_
_atom_site_label
_atom_site_fract_x
_atom_site_fract_y
_atom_site_fract_z
Sm1 0.000 0.000 0.000
Y1 0.164 0.500 0.827
Y2 0.167 0.500 0.338
Th1 0.000 0.000 0.500
# crystal system	monoclinic
# E_tot	-75.5	eV per cell
# E_form	0.039	eV per atom
# relative energy among the computed polymorphs	0	meV per atom

# PBE Sm3Y5Th3, relaxed
data_Sm3Y5Th3
_chemical_formula_sum 'Sm3 Y5 Th3'
_space_group_name_H-M_alt 'P -6 2 m'
_space_group_IT_number 189
_space_group_name_Hall 'P -6 -2'
_cell_length_a 9.6764
_cell_length_b 9.6764
_cell_length_c 5.4448
_cell_angle_alpha 90.00
_cell_angle_beta 90.00
_cell_angle_gamma 120.00
loop_
_atom_site_label
_atom_site_fract_x
_atom_site_fract_y
_atom_site_fract_z
Sm1 0.0000 0.2654 0.0000
Y1 0.0000 0.6338 0.0000
Y2 0.3333 0.6667 0.0000
Th1 0.0000 0.4133 0.5000
# crystal system	hexagonal
# E_tot	-59.1	eV per cell
# E_form	0.873	eV per atom

# PBE Sm4YTh2, relaxed
data_Sm4YTh2
_chemical_formula_sum 'Sm8 Y2 Th4'
_space_group_name_H-M_alt 'I 4/m m m'
_space_group_IT_number 139
_space_group_name_Hall '-I 4 2'
_cell_length_a 5.640
_cell_length_b 5.640
_cell_length_c 16.797
_cell_angle_alpha 90.00
_cell_angle_beta 90.00
_cell_angle_gamma 90.00
loop_
_atom_site_label
_atom_site_fract_x
_atom_site_fract_y
_atom_site_fract_z
Sm1 0.000 0.000 0.187
Sm2 0.000 0.500 0.000
Y1 0.000 0.000 0.000
Th1 0.000 0.000 0.389
# crystal system	tetragonal
# E_tot	-69.2	eV per cell
# E_form	0.794	eV per atom
# relative energy among the computed polymorphs	440	meV per atom